This record from Alexandria via LeMat-Bulk describes crystalline HCl2F at its relaxed geometry. The functional is PBE.

abc: 3.640 3.640 19.312
angles: 90.00 90.00 120.00
Fractional positions:
H  0.000  0.000  0.000
H  0.333  0.667  0.667
H  0.667  0.333  0.333
Cl  0.000  0.000  0.080
Cl  0.000  0.000  0.920
Cl  0.333  0.667  0.587
Cl  0.333  0.667  0.746
Cl  0.667  0.333  0.254
Cl  0.667  0.333  0.413
F  0.000  0.000  0.500
F  0.333  0.667  0.167
F  0.667  0.333  0.833

Computed properties:
Excess energy over the best structure of this formula in the dataset (eV per atom): 0.859
D(E_F) (states/eV/f.u.): 2.534